Record 1
{
  "formula": "GdLuCd4",
  "functional": "PBE",
  "state": "optimized geometry",
  "cell": [[5.895, 0.000, 0.000], [2.948, 5.105, 0.000], [2.948, 1.702, 4.813]],
  "species": ["Lu", "Gd", "Cd", "Cd", "Cd", "Cd"],
  "frac_coords": [[0.000, 0.000, 0.000], [0.250, 0.250, 0.250], [0.625, 0.625, 0.125], [0.625, 0.125, 0.625], [0.625, 0.625, 0.625], [0.125, 0.625, 0.625]],
  "ef_mev_per_atom": -236,
  "spacegroup": "F-43m"
}

Record 2
{
  "formula": "Nd2GeBPt6",
  "functional": "PBE",
  "state": "optimized geometry",
  "cell": [[5.757, 0.000, 0.000], [0.000, 7.392, 0.000], [0.000, 0.000, 8.711]],
  "species": ["Pt", "Pt", "Pt", "Pt", "Pt", "Pt", "Pt", "Pt", "Pt", "Pt", "Pt", "Pt", "Nd", "Nd", "Nd", "Nd", "B", "B", "Ge", "Ge"],
  "frac_coords": [[0.500, 0.149, 0.254], [0.260, 0.000, 0.000], [0.760, 0.000, 0.500], [0.740, 0.000, 0.000], [0.754, 0.583, 0.000], [0.246, 0.583, 0.000], [0.240, 0.000, 0.500], [0.500, 0.149, 0.746], [0.000, 0.851, 0.246], [0.254, 0.417, 0.500], [0.746, 0.417, 0.500], [0.000, 0.851, 0.754], [0.500, 0.719, 0.718], [0.500, 0.719, 0.282], [0.000, 0.281, 0.782], [0.000, 0.281, 0.218], [0.500, 0.202, 0.500], [0.000, 0.798, 0.000], [0.500, 0.310, 0.000], [0.000, 0.690, 0.500]],
  "ef_mev_per_atom": -865,
  "spacegroup": "Pmmn"
}

Record 3
{
  "formula": "Sc2AgS4",
  "functional": "PBE",
  "state": "optimized geometry",
  "cell": [[6.595, -0.049, 3.767], [-2.120, 6.245, 3.767], [0.041, 0.057, 7.574]],
  "species": ["Sc", "Sc", "Sc", "Sc", "S", "S", "S", "S", "S", "S", "S", "S", "Ag", "Ag"],
  "frac_coords": [[0.000, 0.000, 0.000], [0.500, 0.000, 0.500], [0.500, 0.000, 0.000], [0.500, 0.500, 0.500], [0.279, 0.759, 0.482], [0.741, 0.761, 0.018], [0.261, 0.241, 0.518], [0.741, 0.221, 0.018], [0.721, 0.241, 0.518], [0.259, 0.779, 0.982], [0.739, 0.759, 0.482], [0.259, 0.239, 0.982], [0.125, 0.375, 0.250], [0.875, 0.625, 0.750]],
  "total_energy_ev_per_cell": -82.45,
  "spacegroup": "Fddd"
}

Here are the calculated total magnetic moment numbers, same order: 7.5, 0.0, 0.0 (μB per cell).